[1]
Entry from Alexandria via LeMat-Bulk: an optimized crystal structure of Cs2BiPS4 (PBE-GGA).

Calculated values
The uncorrected energy comes out at -3.890 eV per atom. The uncorrected formation energy is -0.45 eV per atom.

CIF file:
```
data_Cs2BiPS4
_chemical_formula_sum 'Cs16 Bi8 P8 S32'
_symmetry_space_group_name_H-M 'F d d d'
_symmetry_Int_Tables_number 70
_cell_length_a 6.543
_cell_length_b 14.803
_cell_length_c 25.220
_cell_angle_alpha 90.00
_cell_angle_beta 90.00
_cell_angle_gamma 90.00
loop_
_symmetry_equiv_pos_as_xyz
'x,y,z'
'-x,-y,-z'
'-x+1/4,-y+1/4,z'
'x+1/4,y+1/4,-z'
'x,-y+1/4,-z+1/4'
'-x,y+1/4,z+1/4'
'-x+1/4,y,-z+1/4'
'x+1/4,-y,z+1/4'
'x,y+1/2,z+1/2'
'-x,-y+1/2,-z+1/2'
'-x+1/4,-y+3/4,z+1/2'
'x+1/4,y+3/4,-z+1/2'
'x,-y+3/4,-z+3/4'
'-x,y+3/4,z+3/4'
'-x+1/4,y+1/2,-z+3/4'
'x+1/4,-y+1/2,z+3/4'
'x+1/2,y,z+1/2'
'-x+1/2,-y,-z+1/2'
'-x+3/4,-y+1/4,z+1/2'
'x+3/4,y+1/4,-z+1/2'
'x+1/2,-y+1/4,-z+3/4'
'-x+1/2,y+1/4,z+3/4'
'-x+3/4,y,-z+3/4'
'x+3/4,-y,z+3/4'
'x+1/2,y+1/2,z'
'-x+1/2,-y+1/2,-z'
'-x+3/4,-y+3/4,z'
'x+3/4,y+3/4,-z'
'x+1/2,-y+3/4,-z+1/4'
'-x+1/2,y+3/4,z+1/4'
'-x+3/4,y+1/2,-z+1/4'
'x+3/4,-y+1/2,z+1/4'
loop_
_atom_site_label
_atom_site_type_symbol
_atom_site_fract_x
_atom_site_fract_y
_atom_site_fract_z
Cs1 Cs 0.125 0.125 0.304
Bi1 Bi 0.125 0.125 0.125
P1 P 0.125 0.125 0.625
S1 S 0.090 0.278 0.824
```

[2]
Entry from Alexandria via LeMat-Bulk: an optimized crystal structure of CsBiPS2 (PBE-GGA).

Calculated values
The uncorrected energy comes out at -3.579 eV per atom. The uncorrected formation energy is 0.10 eV per atom.

CIF file:
```
data_CsBiPS2
_chemical_formula_sum 'Cs1 Bi1 P1 S2'
_symmetry_space_group_name_H-M 'P 4/m m m'
_symmetry_Int_Tables_number 123
_symmetry_space_group_name_Hall '-P 4 2'
_cell_length_a 5.458
_cell_length_b 5.458
_cell_length_c 5.503
_cell_angle_alpha 90.00
_cell_angle_beta 90.00
_cell_angle_gamma 90.00
loop_
_atom_site_label
_atom_site_type_symbol
_atom_site_fract_x
_atom_site_fract_y
_atom_site_fract_z
Cs1 Cs 0.000 0.000 0.000
Bi1 Bi 0.500 0.500 0.500
P1 P 0.500 0.500 0.000
S1 S 0.000 0.500 0.500
```

[3]
Entry from Alexandria via LeMat-Bulk: an optimized crystal structure of CsBiPS2 (PBE-GGA).

Calculated values
The uncorrected energy comes out at -3.148 eV per atom. The uncorrected formation energy is 0.53 eV per atom.

CIF file:
```
data_CsBiPS2
_chemical_formula_sum 'Cs1 Bi1 P1 S2'
_symmetry_space_group_name_H-M 'P 4/m m m'
_symmetry_Int_Tables_number 123
_symmetry_space_group_name_Hall '-P 4 2'
_cell_length_a 4.918
_cell_length_b 4.918
_cell_length_c 5.774
_cell_angle_alpha 90.00
_cell_angle_beta 90.00
_cell_angle_gamma 90.00
loop_
_atom_site_label
_atom_site_type_symbol
_atom_site_fract_x
_atom_site_fract_y
_atom_site_fract_z
Cs1 Cs 0.000 0.000 0.000
Bi1 Bi 0.500 0.500 0.000
P1 P 0.000 0.000 0.500
S1 S 0.000 0.500 0.500
```

[4]
Entry from Alexandria via LeMat-Bulk: an optimized crystal structure of CsBiP2S (PBE-GGA).

Calculated values
The uncorrected energy comes out at -3.501 eV per atom. The uncorrected formation energy is 0.44 eV per atom.

CIF file:
```
data_CsBiP2S
_chemical_formula_sum 'Cs1 Bi1 P2 S1'
_symmetry_space_group_name_H-M 'P 4/m m m'
_symmetry_Int_Tables_number 123
_symmetry_space_group_name_Hall '-P 4 2'
_cell_length_a 5.499
_cell_length_b 5.499
_cell_length_c 5.539
_cell_angle_alpha 90.00
_cell_angle_beta 90.00
_cell_angle_gamma 90.00
loop_
_atom_site_label
_atom_site_type_symbol
_atom_site_fract_x
_atom_site_fract_y
_atom_site_fract_z
Cs1 Cs 0.000 0.000 0.000
Bi1 Bi 0.500 0.500 0.500
P1 P 0.000 0.500 0.500
S1 S 0.500 0.500 0.000
```

[5]
Entry from Alexandria via LeMat-Bulk: an optimized crystal structure of CsTaBi2P (PBE-GGA).

Calculated values
The calculation puts the energy of formation from the pure elements at 1.00 eV per atom. The uncorrected energy comes out at -4.173 eV per atom.

CIF file:
```
data_CsTaBi2P
_chemical_formula_sum 'Cs1 Ta1 Bi2 P1'
_symmetry_space_group_name_H-M 'P 4/m m m'
_symmetry_Int_Tables_number 123
_symmetry_space_group_name_Hall '-P 4 2'
_cell_length_a 5.477
_cell_length_b 5.477
_cell_length_c 7.466
_cell_angle_alpha 90.00
_cell_angle_beta 90.00
_cell_angle_gamma 90.00
loop_
_atom_site_label
_atom_site_type_symbol
_atom_site_fract_x
_atom_site_fract_y
_atom_site_fract_z
Cs1 Cs 0.000 0.000 0.000
Ta1 Ta 0.000 0.000 0.500
Bi1 Bi 0.000 0.500 0.500
P1 P 0.500 0.500 0.000
```

[6]
Entry from Alexandria via LeMat-Bulk: an optimized crystal structure of CsTaBi2P (PBE-GGA).

Calculated values
The calculation puts the energy of formation from the pure elements at 1.37 eV per atom. The uncorrected energy comes out at -3.809 eV per atom.

CIF file:
```
data_CsTaBi2P
_chemical_formula_sum 'Cs1 Ta1 Bi2 P1'
_symmetry_space_group_name_H-M 'P 4/m m m'
_symmetry_Int_Tables_number 123
_symmetry_space_group_name_Hall '-P 4 2'
_cell_length_a 5.489
_cell_length_b 5.489
_cell_length_c 5.570
_cell_angle_alpha 90.00
_cell_angle_beta 90.00
_cell_angle_gamma 90.00
loop_
_atom_site_label
_atom_site_type_symbol
_atom_site_fract_x
_atom_site_fract_y
_atom_site_fract_z
Cs1 Cs 0.000 0.000 0.000
Ta1 Ta 0.500 0.500 0.000
Bi1 Bi 0.000 0.500 0.500
P1 P 0.000 0.000 0.500
```

[7]
Entry from Alexandria via LeMat-Bulk: an optimized crystal structure of CsY2BiP (PBE-GGA).

Calculated values
The calculation puts the energy of formation from the pure elements at 0.43 eV per atom. The uncorrected energy comes out at -4.182 eV per atom.

CIF file:
```
data_CsY2BiP
_chemical_formula_sum 'Cs1 Y2 Bi1 P1'
_symmetry_space_group_name_H-M 'P 4/m m m'
_symmetry_Int_Tables_number 123
_symmetry_space_group_name_Hall '-P 4 2'
_cell_length_a 5.876
_cell_length_b 5.876
_cell_length_c 5.961
_cell_angle_alpha 90.00
_cell_angle_beta 90.00
_cell_angle_gamma 90.00
loop_
_atom_site_label
_atom_site_type_symbol
_atom_site_fract_x
_atom_site_fract_y
_atom_site_fract_z
Cs1 Cs 0.000 0.000 0.000
Y1 Y 0.000 0.500 0.500
Bi1 Bi 0.500 0.500 0.500
P1 P 0.500 0.500 0.000
```

[8]
Entry from Alexandria via LeMat-Bulk: an optimized crystal structure of CsPaBi2 (PBE-GGA).

Calculated values
The calculation puts the energy of formation from the pure elements at -0.19 eV per atom. The uncorrected energy comes out at -4.719 eV per atom.

CIF file:
```
data_CsPaBi2
_chemical_formula_sum 'Cs1 Pa1 Bi2'
_symmetry_space_group_name_H-M 'P 4/m m m'
_symmetry_Int_Tables_number 123
_symmetry_space_group_name_Hall '-P 4 2'
_cell_length_a 3.955
_cell_length_b 3.955
_cell_length_c 9.474
_cell_angle_alpha 90.00
_cell_angle_beta 90.00
_cell_angle_gamma 90.00
loop_
_atom_site_label
_atom_site_type_symbol
_atom_site_fract_x
_atom_site_fract_y
_atom_site_fract_z
Cs1 Cs 0.000 0.000 0.000
Pa1 Pa 0.000 0.000 0.500
Bi1 Bi 0.500 0.500 0.309
```